DFT (GGA-PBE) results for crystalline CaZnH8Ir2 at its relaxed geometry.

POSCAR file:
```
CaZnH8Ir2
1.0
2.338 1.350 5.617
-2.338 1.350 5.617
0.000 -2.700 5.617
Ca Zn H Ir
1 1 8 2
Cartesian
0.000 0.000 0.000
0.000 0.000 8.425
-1.038 -0.609 6.932
0.000 0.000 5.247
-1.046 0.594 9.919
0.009 -1.203 9.919
-0.009 1.203 6.932
1.046 -0.594 6.932
0.000 0.000 11.604
1.038 0.609 9.919
0.000 0.000 3.665
0.000 0.000 13.186
```

Output
- Space-group type: No. 148
- Calculated total energy: -4.10 eV per atom

***

DFT (GGA-PBE) results for crystalline CaZn2H8Ir at its relaxed geometry.

POSCAR file:
```
CaZn2H8Ir
1.0
4.391 0.000 0.000
-2.195 3.803 0.000
0.000 0.000 6.469
Ca Zn H Ir
1 2 8 1
Cartesian
0.000 0.000 0.000
0.000 2.535 2.089
2.195 1.268 4.380
0.000 1.294 4.337
-1.075 3.156 4.337
0.000 2.535 0.392
1.120 0.647 2.132
1.075 3.156 4.337
2.195 1.268 6.077
3.270 0.647 2.132
2.195 2.509 2.132
0.000 0.000 3.234
```

Output
- Space-group type: No. 164
- Calculated total energy: -3.48 eV per atom

***

DFT (GGA-PBE) results for crystalline Ca2ZnHIr at its relaxed geometry.

POSCAR file:
```
Ca2ZnHIr
1.0
4.992 0.000 0.000
0.000 4.992 0.000
0.000 0.000 3.649
Ca Zn H Ir
2 1 1 1
Cartesian
0.000 2.496 0.000
2.496 0.000 0.000
0.000 0.000 1.825
2.496 2.496 0.000
2.496 2.496 1.825
```

Output
- Space-group type: No. 123
- Calculated total energy: -3.83 eV per atom

***

DFT (GGA-PBE) results for crystalline K2CaH2 at its relaxed geometry.

POSCAR file:
```
K2CaH2
1.0
-2.458 2.458 6.551
2.458 -2.458 6.551
2.458 2.458 -6.551
K Ca H
2 1 2
Cartesian
0.000 0.000 2.359
0.000 0.000 10.742
0.000 0.000 6.551
2.458 0.000 3.275
0.000 2.458 3.275
```

Output
- Space-group type: No. 139
- Calculated total energy: -2.02 eV per atom

***

DFT (GGA-PBE) results for crystalline K2Ca2H at its relaxed geometry.

POSCAR file:
```
K2Ca2H
1.0
-2.322 2.322 10.620
2.322 -2.322 10.620
2.322 2.322 -10.620
K Ca H
2 2 1
Cartesian
2.322 0.000 5.310
0.000 2.322 5.310
0.000 0.000 1.759
0.000 0.000 19.481
0.000 0.000 10.620
```

Output
- Space-group type: No. 139
- Calculated total energy: -1.24 eV per atom
- Distance to the lowest polymorph of the same formula: 2.62 eV per formula unit

***

DFT (GGA-PBE) results for crystalline KCaH at its relaxed geometry.

POSCAR file:
```
KCaH
1.0
6.887 0.000 0.000
0.000 9.569 0.000
0.000 0.000 6.441
K Ca H
4 4 4
Cartesian
0.330 1.456 0.000
3.113 1.456 3.220
3.774 8.113 0.000
6.556 8.113 3.220
0.664 5.535 0.239
2.779 5.535 3.460
4.107 4.035 0.239
6.223 4.035 3.460
0.689 5.616 2.534
2.754 5.616 5.754
4.133 3.953 2.534
6.197 3.953 5.754
```

Output
- Space-group type: No. 29
- Calculated total energy: -2.22 eV per atom
- Distance to the lowest polymorph of the same formula: 0.00 eV per formula unit

***

DFT (GGA-PBE) results for crystalline K2CaH4 at its relaxed geometry.

POSCAR file:
```
K2CaH4
1.0
2.251 -7.058 0.000
2.251 7.058 0.000
0.000 0.000 4.183
K Ca H
2 1 4
Cartesian
2.251 4.942 0.000
2.251 -4.942 0.000
2.251 0.000 2.092
0.000 0.000 2.092
2.251 2.298 2.092
2.251 0.000 0.000
2.251 -2.298 2.092
```

Output
- Space-group type: No. 65
- Calculated total energy: -2.80 eV per atom

***

DFT (GGA-PBE) results for crystalline KCaH2 at its relaxed geometry.

POSCAR file:
```
KCaH2
1.0
-3.031 3.031 5.615
3.031 -3.031 5.615
3.031 3.031 -5.615
K Ca H
2 2 4
Cartesian
0.000 0.000 0.000
0.000 3.031 2.808
3.031 0.000 2.808
0.000 0.000 5.615
1.515 -0.692 4.211
2.338 1.515 1.404
1.515 3.723 -1.404
0.692 1.515 7.019
```

Output
- Space-group type: No. 122
- Calculated total energy: -2.61 eV per atom
- Distance to the lowest polymorph of the same formula: 0.14 eV per formula unit

***

DFT (GGA-PBE) results for crystalline KCaH2 at its relaxed geometry.

POSCAR file:
```
KCaH2
1.0
1.886 1.089 7.186
-1.886 1.089 7.186
0.000 -2.177 7.186
K Ca H
1 1 2
Cartesian
0.000 0.000 0.000
0.000 0.000 10.779
0.000 0.000 4.529
0.000 0.000 17.030
```

Output
- Space-group type: No. 166
- Calculated total energy: -2.64 eV per atom
- Distance to the lowest polymorph of the same formula: 0.00 eV per formula unit

***

DFT (GGA-PBE) results for crystalline KCa2H2 at its relaxed geometry.

POSCAR file:
```
KCa2H2
1.0
8.223 0.000 0.000
0.000 8.223 0.000
0.000 0.000 4.425
K Ca H
2 4 4
Cartesian
0.000 0.000 0.000
4.112 4.112 0.000
1.398 2.713 2.212
2.713 6.825 2.212
5.510 1.398 2.212
6.825 5.510 2.212
1.722 2.390 0.000
2.390 6.502 0.000
5.833 1.722 0.000
6.502 5.833 0.000
```

Output
- Space-group type: No. 127
- Calculated total energy: -2.32 eV per atom
- Distance to the lowest polymorph of the same formula: 0.11 eV per formula unit

***

DFT (GGA-PBE) results for crystalline KCaH2 at its relaxed geometry.

POSCAR file:
```
KCaH2
1.0
0.000 3.331 3.331
3.331 0.000 3.331
3.331 3.331 0.000
K Ca H
1 1 2
Cartesian
0.000 0.000 0.000
3.331 3.331 3.331
1.665 1.665 1.665
4.996 4.996 4.996
```

Output
- Space-group type: No. 225
- Calculated total energy: -2.30 eV per atom
- Distance to the lowest polymorph of the same formula: 1.39 eV per formula unit

***

DFT (GGA-PBE) results for crystalline KCa2H4 at its relaxed geometry.

POSCAR file:
```
KCa2H4
1.0
-2.227 2.227 6.399
2.227 -2.227 6.399
2.227 2.227 -6.399
K Ca H
1 2 4
Cartesian
0.000 0.000 0.000
0.000 0.000 4.599
0.000 0.000 8.200
2.227 0.000 0.000
0.000 0.000 2.447
0.000 2.227 0.000
0.000 0.000 10.351
```

Output
- Space-group type: No. 139
- Calculated total energy: -2.63 eV per atom

***

DFT (GGA-PBE) results for crystalline KCa2H2 at its relaxed geometry.

POSCAR file:
```
KCa2H2
1.0
-2.311 2.311 7.551
2.311 -2.311 7.551
2.311 2.311 -7.551
K Ca H
1 2 2
Cartesian
0.000 0.000 0.000
2.311 0.000 3.775
0.000 2.311 3.775
0.000 0.000 4.336
0.000 0.000 10.765
```

Output
- Space-group type: No. 139
- Calculated total energy: -2.34 eV per atom
- Distance to the lowest polymorph of the same formula: 0.00 eV per formula unit

***

DFT (GGA-PBE) results for crystalline K2CaH6 at its relaxed geometry.

POSCAR file:
```
K2CaH6
1.0
0.000 4.202 4.202
4.202 0.000 4.202
4.202 4.202 0.000
K Ca H
2 1 6
Cartesian
2.101 2.101 2.101
6.303 6.303 6.303
0.000 0.000 0.000
4.202 4.202 2.246
4.202 2.246 4.202
6.158 4.202 4.202
2.246 4.202 4.202
4.202 6.158 4.202
4.202 4.202 6.158
```

Output
- Space-group type: No. 225
- Calculated total energy: -2.36 eV per atom

***

DFT (GGA-PBE) results for crystalline K2CaH4 at its relaxed geometry.

POSCAR file:
```
K2CaH4
1.0
6.549 0.000 0.000
0.000 11.060 0.000
0.000 0.000 3.709
K Ca H
4 2 8
Cartesian
0.378 1.999 0.000
2.896 7.528 0.000
3.652 3.531 0.000
6.170 9.061 0.000
0.000 5.530 1.854
3.274 0.000 1.854
0.933 7.584 1.854
1.361 5.029 0.000
1.913 10.559 0.000
2.341 2.054 1.854
4.207 9.005 1.854
4.635 0.501 0.000
5.187 6.031 0.000
5.616 3.475 1.854
```

Output
- Space-group type: No. 55
- Calculated total energy: -2.85 eV per atom

***

DFT (GGA-PBE) results for crystalline KCa3H at its relaxed geometry.

POSCAR file:
```
KCa3H
1.0
6.952 0.000 0.000
0.000 6.952 0.000
0.000 0.000 6.952
K Ca H
1 3 1
Cartesian
0.000 0.000 0.000
0.000 0.000 3.476
0.000 3.476 0.000
3.476 0.000 0.000
3.476 3.476 3.476
```

Output
- Space-group type: No. 221
- Calculated total energy: -0.88 eV per atom
- Distance to the lowest polymorph of the same formula: 5.74 eV per formula unit

***

DFT (GGA-PBE) results for crystalline K3CaH at its relaxed geometry.

POSCAR file:
```
K3CaH
1.0
6.043 0.000 0.000
0.000 6.043 0.000
0.000 0.000 6.043
K Ca H
3 1 1
Cartesian
0.000 0.000 3.022
0.000 3.022 0.000
3.022 0.000 0.000
3.022 3.022 3.022
0.000 0.000 0.000
```

Output
- Space-group type: No. 221
- Calculated total energy: -1.59 eV per atom

***

DFT (GGA-PBE) results for crystalline KCaH at its relaxed geometry.

POSCAR file:
```
KCaH
1.0
3.851 0.000 0.000
-1.925 3.335 0.000
0.000 0.000 6.795
K Ca H
1 1 1
Cartesian
0.000 0.000 0.000
0.000 2.223 3.250
1.925 1.112 1.996
```

Output
- Space-group type: No. 156
- Calculated total energy: -2.20 eV per atom
- Distance to the lowest polymorph of the same formula: 0.07 eV per formula unit

***

DFT (GGA-PBE) results for crystalline K2CaH at its relaxed geometry.

POSCAR file:
```
K2CaH
1.0
-4.062 4.062 5.588
4.062 -4.062 5.588
4.062 4.062 -5.588
K Ca H
4 2 2
Cartesian
0.425 2.031 1.397
-2.031 3.637 4.191
-0.425 6.094 1.397
2.031 4.488 4.191
4.062 0.000 2.794
0.000 0.000 5.588
0.000 0.000 0.000
0.000 4.062 2.794
```

Output
- Space-group type: No. 122
- Calculated total energy: -1.72 eV per atom

***

DFT (GGA-PBE) results for crystalline KCa2H6 at its relaxed geometry.

POSCAR file:
```
KCa2H6
1.0
0.000 3.855 3.855
3.855 0.000 3.855
3.855 3.855 0.000
K Ca H
1 2 6
Cartesian
0.000 0.000 0.000
1.927 1.927 1.927
5.782 5.782 5.782
3.855 3.855 2.299
3.855 2.299 3.855
5.410 3.855 3.855
2.299 3.855 3.855
3.855 5.410 3.855
3.855 3.855 5.410
```

Output
- Space-group type: No. 225
- Calculated total energy: -2.51 eV per atom